(1)
Crystalline Pr2PuNpN6 at its relaxed geometry. Source: the Alexandria database, functional GGA-PBE.

Values from the calculation:
Density of states at the Fermi level   0.90 states/eV per atom
Size of the total moment   6.00 μB per cell
V   14.85 A^3/atom
Formation energy from raw total energies   -1.148 eV/atom

Cell and atoms, written as CIF:
```
data_Pr2PuNpN6
_chemical_formula_sum 'Pr4 Pu2 Np2 N12'
_space_group_name_H-M_alt 'P 1 21/c 1'
_space_group_IT_number 14
_space_group_name_Hall '-P 2ybc'
_cell_length_a 5.8634
_cell_length_b 6.0364
_cell_length_c 10.1637
_cell_angle_alpha 90.00
_cell_angle_beta 124.32
_cell_angle_gamma 90.00
loop_
_atom_site_label
_atom_site_fract_x
_atom_site_fract_y
_atom_site_fract_z
Pr1 0.2360 0.0503 0.2469
Pu1 0.0000 0.0000 0.5000
Np1 0.5000 0.0000 0.0000
N1 0.1730 0.1963 0.9518
N2 0.2155 0.6923 0.9457
N3 0.3620 0.0326 0.7633
```

---

(2)
Crystalline Ca2BeSe at its relaxed geometry. Source: the Alexandria database, functional GGA-PBE.

Values from the calculation:
Density of states at the Fermi level   0.64 states/eV per atom
Size of the total moment   0.00 μB per cell
V   25.13 A^3/atom
Energy relative to the lowest polymorph listed for this composition   205 meV/atom
Formation energy from raw total energies   -0.388 eV/atom

Cell and atoms, written as CIF:
```
data_Ca2BeSe
_chemical_formula_sum 'Ca4 Be2 Se2'
_space_group_name_H-M_alt 'I -4 m 2'
_space_group_IT_number 119
_space_group_name_Hall 'I -4 -2'
_cell_length_a 4.1596
_cell_length_b 4.1596
_cell_length_c 11.6211
_cell_angle_alpha 90.00
_cell_angle_beta 90.00
_cell_angle_gamma 90.00
loop_
_atom_site_label
_atom_site_fract_x
_atom_site_fract_y
_atom_site_fract_z
Ca1 0.0000 0.0000 0.0000
Ca2 0.0000 0.5000 0.2500
Be1 0.0000 0.0000 0.5000
Se1 0.0000 0.5000 0.7500
```